*w*
11
Lattice="4.369 -7.154 0.000 4.369 7.154 0.000 -1.875 0.000 5.051" Properties=species:S:1:pos:R:3 comment="Tm8InHg2 PBE optimized geometry" dos_ef_per_ev_cell=14.5 pbc="T T T"
Tm 0.699 1.670 3.081
Tm 4.369 3.959 0.000
Tm 0.699 -1.670 3.081
Tm 3.086 0.000 1.003
Tm 3.777 0.000 4.048
Tm 6.164 1.670 1.970
Tm 4.369 -3.959 0.000
Tm 6.164 -1.670 1.970
In 0.000 0.000 0.000
Hg 3.431 2.794 2.525
Hg 3.431 -2.794 2.525



*x*
11
Lattice="-2.476 4.165 7.348 2.476 -4.165 7.348 2.476 4.165 -7.348" Properties=species:S:1:pos:R:3 comment="Tm8InHg2 PBE optimized geometry" dos_ef_per_ev_cell=12.3 pbc="T T T"
Tm 2.476 2.356 -2.372
Tm 0.000 0.000 2.051
Tm 0.000 2.561 0.000
Tm 2.476 2.356 2.372
Tm 0.000 1.809 4.976
Tm 0.000 5.768 0.000
Tm 0.000 0.000 12.645
Tm 0.000 1.809 9.720
In 2.476 0.000 0.000
Hg 2.476 0.000 4.429
Hg 0.000 4.165 2.919



Referenced to the most stable arrangement, the calculated values in kJ/mol of atoms are *w* 3.1; *x* 0.0.



*w*
16
Lattice="7.074 0.000 0.000 0.000 7.074 0.000 0.000 0.000 7.074" Properties=species:S:1:pos:R:3 comment="TmZnInHg PBE optimized geometry" dos_ef_per_ev_cell=6.9 pbc="T T T"
Tm 0.000 0.000 0.000
Tm 0.000 3.537 3.537
Tm 3.537 0.000 3.537
Tm 3.537 3.537 0.000
Zn 1.769 1.769 1.769
Zn 1.769 5.306 5.306
Zn 5.306 1.769 5.306
Zn 5.306 5.306 1.769
In 0.000 0.000 3.537
In 0.000 3.537 0.000
In 3.537 0.000 0.000
In 3.537 3.537 3.537
Hg 1.769 1.769 5.306
Hg 1.769 5.306 1.769
Hg 5.306 1.769 1.769
Hg 5.306 5.306 5.306



*x*
4
Lattice="4.253 0.000 0.000 0.000 4.546 0.000 0.000 0.000 4.599" Properties=species:S:1:pos:R:3 comment="TmZnInHg PBE optimized geometry" dos_ef_per_ev_cell=2.2 pbc="T T T"
Tm 0.000 0.000 0.000
Zn 0.000 2.273 2.300
In 2.126 0.000 2.300
Hg 2.126 2.273 0.000



Referenced to the most stable arrangement, the calculated values in kJ/mol of atoms are *w* 1.9; *x* 0.0.



*w*
12
Lattice="2.990 0.000 0.000 0.000 17.550 0.000 0.000 0.000 5.350" Properties=species:S:1:pos:R:3 comment="UInHg PBE optimized geometry" dos_ef_per_ev_cell=16.6 pbc="T T T"
U 0.000 4.089 1.338
U 0.000 13.461 4.013
U 1.495 4.686 4.013
U 1.495 12.864 1.338
In 0.000 1.800 4.013
In 0.000 15.750 1.338
In 1.495 6.975 1.338
In 1.495 10.575 4.013
Hg 0.000 7.697 4.013
Hg 0.000 9.852 1.338
Hg 1.495 1.078 1.338
Hg 1.495 16.472 4.013



*x*
6
Lattice="3.151 0.000 0.000 0.000 3.151 0.000 0.000 0.000 14.515" Properties=species:S:1:pos:R:3 comment="UInHg PBE optimized geometry" dos_ef_per_ev_cell=8.9 pbc="T T T"
U 0.000 0.000 0.000
U 1.575 1.575 7.258
In 0.000 0.000 4.785
In 1.575 1.575 12.042
Hg 0.000 0.000 9.681
Hg 1.575 1.575 2.424



Referenced to the most stable arrangement, the calculated values in kJ/mol of atoms are *w* 0.0; *x* 1.7.



*w*
10
Lattice="7.190 0.000 0.000 0.000 7.190 0.000 0.000 0.000 3.796" Properties=species:S:1:pos:R:3 comment="V2In2Hg PBE optimized geometry" dos_ef_per_ev_cell=5.2 pbc="T T T"
V 0.755 2.840 0.000
V 2.840 6.435 0.000
V 4.349 0.755 0.000
V 6.435 4.349 0.000
In 1.337 4.932 1.898
In 2.258 1.337 1.898
In 4.932 5.853 1.898
In 5.853 2.258 1.898
Hg 0.000 0.000 0.000
Hg 3.595 3.595 0.000



*x*
10
Lattice="4.086 0.000 0.000 0.000 4.086 0.000 0.000 0.000 12.356" Properties=species:S:1:pos:R:3 comment="V2In2Hg PBE optimized geometry" dos_ef_per_ev_cell=7.7 pbc="T T T"
V 0.000 0.000 0.957
V 0.000 0.000 11.399
V 2.043 2.043 5.221
V 2.043 2.043 7.136
In 0.000 2.043 3.089
In 0.000 2.043 9.267
In 2.043 0.000 3.089
In 2.043 0.000 9.267
Hg 0.000 0.000 6.178
Hg 2.043 2.043 0.000



Referenced to the most stable arrangement, the calculated values in kJ/mol of atoms are *w* 0.0; *x* 22.0.



*w*
5
Lattice="5.365 0.000 0.000 0.000 5.365 0.000 0.000 0.000 5.365" Properties=species:S:1:pos:R:3 comment="VIn3Hg PBE optimized geometry" dos_ef_per_ev_cell=2.7 pbc="T T T"
V 0.000 0.000 0.000
In 0.000 0.000 2.682
In 0.000 2.682 0.000
In 2.682 0.000 0.000
Hg 2.682 2.682 2.682



*x*
5
Lattice="5.471 0.000 0.000 0.000 5.471 0.000 0.000 0.000 5.471" Properties=species:S:1:pos:R:3 comment="VIn3Hg PBE optimized geometry" dos_ef_per_ev_cell=10.6 pbc="T T T"
V 0.000 0.000 0.000
In 0.000 2.736 2.736
In 2.736 0.000 2.736
In 2.736 2.736 0.000
Hg 2.736 2.736 2.736



Referenced to the most stable arrangement, the calculated values in kJ/mol of atoms are *w* 0.0; *x* 52.1.



*w*
10
Lattice="7.492 0.000 0.000 0.000 7.492 0.000 0.000 0.000 3.658" Properties=species:S:1:pos:R:3 comment="In2HgW2 PBE optimized geometry" dos_ef_per_ev_cell=3.5 pbc="T T T"
In 1.322 2.424 0.000
In 2.424 6.170 0.000
In 5.069 1.322 0.000
In 6.170 5.069 0.000
Hg 0.000 0.000 1.829
Hg 3.746 3.746 1.829
W 0.873 4.619 1.829
W 2.874 0.873 1.829
W 4.619 6.620 1.829
W 6.620 2.874 1.829



*x*
10
Lattice="3.768 0.000 0.000 0.000 3.768 0.000 0.000 0.000 15.412" Properties=species:S:1:pos:R:3 comment="In2HgW2 PBE optimized geometry" dos_ef_per_ev_cell=6.7 pbc="T T T"
In 0.000 0.000 1.588
In 0.000 0.000 13.824
In 1.884 1.884 6.118
In 1.884 1.884 9.294
Hg 0.000 0.000 7.706
Hg 1.884 1.884 0.000
W 0.000 1.884 3.853
W 0.000 1.884 11.559
W 1.884 0.000 3.853
W 1.884 0.000 11.559



Referenced to the most stable arrangement, the calculated values in kJ/mol of atoms are *w* 0.0; *x* 5.3.